Material: NdRe2Si2
Method: DFT, GGA-PBE
State: optimized geometry

Structure (POSCAR):
```
NdRe2Si2
1.0
-0.1129 -2.6969 3.0727
3.9745 -0.7928 -0.5498
-0.6846 5.6090 2.1759
Nd Re Si
1 2 2
direct
0.0000 0.0000 0.0000
0.7500 0.2500 0.5000
0.2500 0.7500 0.5000
0.6200 0.6200 0.2401
0.3800 0.3800 0.7599
```

Results
Density of states at the Fermi level in states/eV per cell: 3.77
Formation energy without anion corrections in eV per atom: -0.447

***

Material: Li2TbDy
Method: DFT, GGA-PBE
State: optimized geometry

Structure (POSCAR):
```
Li2TbDy
1.0
-0.7933 2.2448 4.6855
-2.4159 -2.6790 3.8221
2.7211 -1.6315 4.1899
Li Tb Dy
2 1 1
direct
0.2500 0.2500 0.2500
0.7500 0.7500 0.7500
0.0000 0.0000 0.0000
0.5000 0.5000 0.5000
```

Results
Density of states at the Fermi level in states/eV per cell: 4.53
Formation energy in eV/atom: 0.16

***

Material: Na2YTiS4
Method: DFT, GGA-PBE
State: optimized geometry

Structure (POSCAR):
```
Na2YTiS4
1.0
3.7877 0.0000 0.0000
0.0000 6.5889 0.0999
0.0000 -2.2910 6.6529
Na Y Ti S
2 1 1 4
direct
0.5000 0.0000 0.5000
0.0000 0.5000 0.5000
0.5000 0.5000 0.0000
0.0000 0.0000 0.0000
0.5000 0.2199 0.2136
0.5000 0.7801 0.7864
0.0000 0.2391 0.7760
0.0000 0.7609 0.2240
```

Results
Density of states at the Fermi level in states/eV per cell: 3.63
Formation energy without anion corrections in eV per atom: -1.548

***

Material: LiMoRuN2
Method: DFT, GGA-PBE
State: optimized geometry

Structure (POSCAR):
```
LiMoRuN2
1.0
3.8989 0.0000 0.0000
0.0000 4.7259 0.0000
0.0000 0.0000 3.8989
Ru Mo Li N
1 1 1 2
direct
0.5000 0.5000 0.5000
0.0000 0.0000 0.0000
0.0000 0.5000 0.0000
0.0000 0.0000 0.5000
0.5000 0.0000 0.0000
```

Results
Density of states at the Fermi level in states/eV per cell: 3.99
Formation energy without anion corrections in eV per atom: 1.198

***

Material: Li2DyPuSe4
Method: DFT, GGA-PBE
State: optimized geometry

Structure (POSCAR):
```
Li2DyPuSe4
1.0
-2.2997 2.9456 1.7010
1.3866 -2.6436 6.4523
4.7407 4.6970 -1.7242
Li Dy Pu Se
2 1 1 4
direct
0.5000 0.0000 0.5000
0.0000 0.5000 0.5000
0.0000 0.0000 0.0000
0.5000 0.5000 0.0000
0.5000 0.2481 0.2549
0.5000 0.7519 0.7451
0.0000 0.2463 0.7465
0.0000 0.7537 0.2535
```

Results
Density of states at the Fermi level in states/eV per cell: 12.11
Formation energy without anion corrections in eV per atom: -1.534

***

Material: Sm5YSb6
Method: DFT, GGA-PBE
State: optimized geometry

Structure (POSCAR):
```
Sm5YSb6
1.0
-5.8471 4.8798 -1.2862
-6.3596 -4.0080 -1.7755
-4.8236 -2.2659 5.5916
Sm Y Sb
5 1 6
direct
0.5000 0.1677 0.6646
0.0000 0.3336 0.3328
0.5000 0.5000 0.0000
0.0000 0.6664 0.6672
0.5000 0.8323 0.3354
0.0000 0.0000 0.0000
0.7520 0.0826 0.3307
0.2480 0.5867 0.3307
0.2490 0.2476 0.0000
0.7510 0.7524 0.0000
0.7520 0.4133 0.6693
0.2480 0.9174 0.6693
```

Results
Density of states at the Fermi level in states/eV per cell: 1.87
Formation energy without anion corrections in eV per atom: -1.174

***

Material: PuTePtO6
Method: DFT, GGA-PBE
State: optimized geometry

Structure (POSCAR):
```
PuTePtO6
1.0
5.5677 0.0000 0.0000
-2.7839 4.8218 0.0000
0.0000 0.0000 8.8972
Pu Te Pt O
2 2 2 12
direct
0.6667 0.3333 0.2500
0.3333 0.6667 0.7500
0.3333 0.6667 0.2500
0.6667 0.3333 0.7500
0.0000 0.0000 0.0000
0.0000 0.0000 0.5000
0.6784 0.6764 0.1231
0.9980 0.3216 0.1231
0.3216 0.9980 0.6231
0.0020 0.6784 0.8769
0.3236 0.3216 0.3769
0.9980 0.6764 0.3769
0.6764 0.9980 0.8769
0.6784 0.0020 0.3769
0.0020 0.3236 0.6231
0.3236 0.0020 0.1231
0.6764 0.6784 0.6231
0.3216 0.3236 0.8769
```

Results
Density of states at the Fermi level in states/eV per cell: 12.79
Formation energy without anion corrections in eV per atom: -1.271

***

Material: NaTcP
Method: DFT, GGA-PBE
State: optimized geometry

Structure (POSCAR):
```
NaTcP
1.0
-1.6775 6.9524 2.5203
-1.8182 -1.4638 2.8276
7.7124 -4.2354 2.7668
Na Tc P
4 4 4
direct
0.1261 0.0000 0.9229
0.8739 0.0000 0.0771
0.1261 0.5000 0.4229
0.8739 0.5000 0.5771
0.5382 0.0000 0.6443
0.4618 0.0000 0.3557
0.5382 0.5000 0.1443
0.4618 0.5000 0.8557
0.7374 0.0000 0.3008
0.2626 0.0000 0.6992
0.7374 0.5000 0.8008
0.2626 0.5000 0.1992
```

Results
Density of states at the Fermi level in states/eV per cell: 4.37
Formation energy in eV/atom: -0.28

***

Material: TlCo3P
Method: DFT, GGA-PBE
State: optimized geometry

Structure (POSCAR):
```
TlCo3P
1.0
-3.9402 -0.7246 -1.2340
-0.6075 -2.4260 3.3643
-1.2957 3.3410 2.1752
P Tl Co
1 1 3
direct
0.0000 0.0000 0.0000
0.5000 0.5000 0.5000
0.0000 0.5000 0.0000
0.0000 0.0000 0.5000
0.5000 0.0000 0.0000
```

Results
Density of states at the Fermi level in states/eV per cell: 5.32
Formation energy in eV/atom: 0.21

***

Material: Tb8SiSe4S3
Method: DFT, GGA-PBE
State: optimized geometry

Structure (POSCAR):
```
Tb8SiSe4S3
1.0
8.0322 0.0000 0.0000
0.0000 8.1590 0.0831
-4.0161 -4.0125 5.6829
Tb Si Se S
8 1 4 3
direct
0.2425 0.7288 0.9864
0.2425 0.7288 0.4849
0.2584 0.2750 0.5167
0.7439 0.7288 0.9864
0.2561 0.2712 0.0136
0.7416 0.7250 0.4833
0.7575 0.2712 0.5151
0.7575 0.2712 0.0136
0.0000 0.5000 0.0000
0.5000 0.0000 0.0000
0.5000 0.0000 0.5000
0.0000 0.0000 0.0000
0.0000 0.0000 0.5000
0.5000 0.5000 0.0000
0.5000 0.5000 0.5000
0.0000 0.5000 0.5000
```

Results
Density of states at the Fermi level in states/eV per cell: 4.70
Formation energy without anion corrections in eV per atom: -1.784

***

Material: BeAlRh
Method: DFT, GGA-PBE
State: optimized geometry

Structure (POSCAR):
```
BeAlRh
1.0
-4.4205 -0.1769 1.3299
-1.5108 -0.9624 4.2581
2.9787 2.6255 -2.3609
Be Rh Al
1 1 1
direct
0.3211 0.3211 0.0000
0.6805 0.6805 0.0000
0.9984 0.9984 0.0000
```

Results
Density of states at the Fermi level in states/eV per cell: 1.41
Formation energy in eV/atom: -0.65